First-principles (GGA-PBE) data for CsBaBrO2 after structural relaxation, as listed in the Alexandria database.

abc: 5.338 5.494 5.338
angles: 90.00 90.00 90.00
Fractional positions:
Cs (0.500, 0.500, 0.500)
Br (0.000, 0.000, 0.000)
O (0.000, 0.000, 0.500)
Ba (0.000, 0.500, 0.000)
O (0.500, 0.000, 0.000)

Energy relative to the elements, uncorrected ... -0.086 eV/atom
Spin magnetization ... 0.00 Bohr magnetons per cell
Crystal system ... tetragonal

---

First-principles (GGA-PBE) data for AlAg2Te after structural relaxation, as listed in the Alexandria database.

abc: 5.366 5.366 5.366
angles: 131.74 131.74 70.64
Fractional positions:
Te (0.750, 0.250, 0.500)
Al (0.250, 0.750, 0.500)
Ag (0.000, 0.000, 0.000)
Ag (0.500, 0.500, 0.000)

Energy relative to the elements, uncorrected ... 0.165 eV/atom
Spin magnetization ... 0.00 Bohr magnetons per cell
Crystal system ... tetragonal
ΔE to the lowest computed polymorph ... 0.1203 eV/atom

---

First-principles (GGA-PBE) data for Cs2InSb after structural relaxation, as listed in the Alexandria database.

abc: 6.380 6.380 6.380
angles: 60.00 60.00 60.00
Fractional positions:
Cs (0.250, 0.250, 0.250)
Sb (0.500, 0.500, 0.500)
Cs (0.750, 0.750, 0.750)
In (0.000, 0.000, 0.000)

Energy relative to the elements, uncorrected ... -0.051 eV/atom
Spin magnetization ... 0.00 Bohr magnetons per cell
Crystal system ... cubic
ΔE to the lowest computed polymorph ... 0.2869 eV/atom

---

First-principles (GGA-PBE) data for TbSm3Ga after structural relaxation, as listed in the Alexandria database.

abc: 7.538 7.538 7.534
angles: 105.45 117.69 105.62
Fractional positions:
Tb (0.704, 0.062, 0.766)
Sm (0.844, 0.040, 0.264)
Sm (0.723, 0.442, 0.165)
Sm (0.277, 0.558, 0.835)
Sm (0.224, 0.419, 0.264)
Sm (0.776, 0.581, 0.736)
Ga (0.625, 0.753, 0.378)
Sm (0.156, 0.960, 0.736)
Ga (0.375, 0.247, 0.622)
Tb (0.296, 0.938, 0.234)

E_form ... -64 meV/atom
Spin magnetization ... 0.00 Bohr magnetons per cell
Crystal system ... monoclinic

---

First-principles (GGA-PBE) data for Zn2Cu2Se after structural relaxation, as listed in the Alexandria database.

abc: 7.519 7.519 2.735
angles: 90.00 90.00 90.00
Fractional positions:
Zn (0.677, 0.177, 0.000)
Cu (0.884, 0.384, 0.500)
Zn (0.177, 0.323, 0.000)
Se (0.500, 0.500, 0.000)
Cu (0.384, 0.116, 0.500)
Zn (0.823, 0.677, 0.000)
Cu (0.616, 0.884, 0.500)
Zn (0.323, 0.823, 0.000)
Cu (0.116, 0.616, 0.500)
Se (0.000, 0.000, 0.000)

Energy relative to the elements, uncorrected ... 0.116 eV/atom
Spin magnetization ... 0.00 Bohr magnetons per cell
Crystal system ... tetragonal
ΔE to the lowest computed polymorph ... 0.0359 eV/atom

---

First-principles (GGA-PBE) data for NiH8Pd5 after structural relaxation, as listed in the Alexandria database.

abc: 5.340 5.359 5.718
angles: 90.32 121.71 116.20
Fractional positions:
Pd (0.626, 0.625, 0.501)
H (0.116, 0.849, 0.278)
H (0.135, 0.400, 0.288)
H (0.612, 0.387, 0.743)
H (0.637, 0.862, 0.257)
H (0.675, 0.414, 0.276)
Pd (0.124, 0.125, 0.499)
Pd (0.355, 0.006, 0.113)
Pd (0.624, 0.624, 0.000)
H (0.117, 0.851, 0.712)
H (0.576, 0.836, 0.725)
Ni (0.126, 0.626, 0.500)
Pd (0.895, 0.244, 0.887)
H (0.133, 0.401, 0.721)

Spin magnetization ... 0.00 Bohr magnetons per cell
Crystal system ... triclinic
Raw total energy ... -58.987 eV/cell

---

First-principles (GGA-PBE) data for Cu2OsPb after structural relaxation, as listed in the Alexandria database.

abc: 2.891 2.891 9.078
angles: 90.00 90.00 116.21
Fractional positions:
Pb (0.500, 0.500, 0.749)
Os (0.000, 0.000, 0.470)
Cu (0.500, 0.500, 0.245)
Cu (0.000, 0.000, 0.036)

E_form ... 812 meV/atom
Spin magnetization ... 0.17 Bohr magnetons per cell
Crystal system ... orthorhombic

---

First-principles (GGA-PBE) data for Rb2ReN3 after structural relaxation, as listed in the Alexandria database.

abc: 6.494 6.942 7.696
angles: 71.07 65.04 62.11
Fractional positions:
Rb (0.438, 0.786, 0.337)
N (0.791, 0.000, 0.000)
Re (0.121, 0.941, 0.817)
N (0.716, 0.333, 0.234)
Rb (0.816, 0.574, 0.793)
N (0.132, 0.136, 0.600)
N (0.868, 0.864, 0.400)
N (0.284, 0.667, 0.766)
Re (0.879, 0.059, 0.183)
Rb (0.184, 0.426, 0.207)
N (0.209, 0.000, 0.000)
Rb (0.562, 0.214, 0.663)

Energy relative to the elements, uncorrected ... -0.168 eV/atom
Spin magnetization ... 0.00 Bohr magnetons per cell
Crystal system ... monoclinic

---

Quick rundown of density, same order as above: 4.1 7.3 4.5 7.0 7.2 8.4 12.8 4.8 g/cm3